<one>
## CoPI2N (PBE)

Data for CoPI2N after structural relaxation.

The volume is 21.81 Å³ per atom.

It has space group P4/mmm (No. 123), with a = 5.703 Å, b = 5.703 Å, c = 3.352 Å, α = 90.00°, β = 90.00° and γ = 90.00°. The inequivalent atoms are Co at (0.000, 0.000, 0.000), P at (0.500, 0.500, 0.500), I at (0.000, 0.500, 0.500) and N at (0.500, 0.500, 0.000).



<two>
## CoPI2N (PBE)

Data for CoPI2N after structural relaxation.

The volume is 19.92 Å³ per atom.

It has space group P4/mmm (No. 123), with a = 5.348 Å, b = 5.348 Å, c = 3.483 Å, α = 90.00°, β = 90.00° and γ = 90.00°. The inequivalent atoms are Co at (0.000, 0.000, 0.000), P at (0.500, 0.500, 0.500), I at (0.000, 0.500, 0.000) and N at (0.000, 0.000, 0.500).



The structure with the most favorable energy is <two>; the runner-up is 16.8 kJ/mol of atoms above it.



<one>
## CoPbI2N (PBE)

Data for CoPbI2N after structural relaxation.

The volume is 32.67 Å³ per atom.

It has space group P4/mmm (No. 123), with a = 6.260 Å, b = 6.260 Å, c = 4.168 Å, α = 90.00°, β = 90.00° and γ = 90.00°. The inequivalent atoms are Co at (0.000, 0.000, 0.000), Pb at (0.500, 0.500, 0.500), I at (0.000, 0.500, 0.500) and N at (0.500, 0.500, 0.000).



<two>
## CoPbI2N (PBE)

Data for CoPbI2N after structural relaxation.

The volume is 23.24 Å³ per atom.

It has space group P4/mmm (No. 123), with a = 5.695 Å, b = 5.695 Å, c = 3.583 Å, α = 90.00°, β = 90.00° and γ = 90.00°. The inequivalent atoms are Co at (0.000, 0.000, 0.000), Pb at (0.500, 0.500, 0.500), I at (0.000, 0.500, 0.000) and N at (0.000, 0.000, 0.500).



The structure with the most favorable energy is <two>; the runner-up is 100.6 kJ/mol of atoms above it.